(1)
{"formula": "Rb2LiHgSe", "functional": "PBE-GGA", "state": "relaxed", "cell": [[6.8158, 0.0000, 0.0000], [0.0000, 6.8158, 0.0000], [0.0000, 0.0000, 4.7457]], "species": ["Rb", "Rb", "Li", "Hg", "Se"], "fractional_positions": [[0.0000, 0.5000, 0.0000], [0.5000, 0.0000, 0.0000], [0.0000, 0.0000, 0.5000], [0.5000, 0.5000, 0.5000], [0.0000, 0.0000, 0.0000]], "space_group": "P4/mmm", "formation_energy_uncorrected_ev_per_atom": -0.638}

(2)
{"formula": "Si2HgAu", "functional": "PBE-GGA", "state": "relaxed", "cell": [[5.5417, 0.0000, 0.0000], [0.0000, 7.7490, 0.0000], [0.0000, 0.0000, 3.5312]], "species": ["Si", "Si", "Si", "Si", "Hg", "Hg", "Au", "Au"], "fractional_positions": [[0.2500, 0.2500, 0.0000], [0.2500, 0.7500, 0.0000], [0.7500, 0.2500, 0.0000], [0.7500, 0.7500, 0.0000], [0.0000, 0.0000, 0.5000], [0.5000, 0.5000, 0.5000], [0.0000, 0.5000, 0.5000], [0.5000, 0.0000, 0.5000]], "space_group": "Cmmm", "formation_energy_uncorrected_ev_per_atom": 0.477}

(3)
{"formula": "ZrIn2Sb", "functional": "PBE-GGA", "state": "relaxed", "cell": [[4.4795, 0.0000, 0.0000], [0.0000, 4.4795, 0.0000], [0.0000, 0.0000, 9.4816]], "species": ["Zr", "Zr", "In", "In", "In", "In", "Sb", "Sb"], "fractional_positions": [[0.0000, 0.0000, 0.0000], [0.5000, 0.5000, 0.5000], [0.0000, 0.0000, 0.5000], [0.0000, 0.5000, 0.7500], [0.5000, 0.0000, 0.2500], [0.5000, 0.5000, 0.0000], [0.0000, 0.5000, 0.2500], [0.5000, 0.0000, 0.7500]], "space_group": "I-4m2", "formation_energy_uncorrected_ev_per_atom": -0.161}

(4)
{"formula": "Cr2W", "functional": "PBE-GGA", "state": "relaxed", "cell": [[9.4288, 0.0000, 0.0000], [0.0000, 2.9859, 0.0000], [-1.9333, 0.0000, 5.6528]], "species": ["Cr", "Cr", "Cr", "Cr", "Cr", "Cr", "Cr", "Cr", "W", "W", "W", "W"], "fractional_positions": [[0.0013, 0.0000, 0.2630], [0.1622, 0.5000, 0.5768], [0.3378, 0.0000, 0.4232], [0.4987, 0.5000, 0.7370], [0.5013, 0.5000, 0.2630], [0.6622, 0.0000, 0.5768], [0.8378, 0.5000, 0.4232], [0.9987, 0.0000, 0.7370], [0.1649, 0.5000, 0.0918], [0.3351, 0.0000, 0.9082], [0.6649, 0.0000, 0.0918], [0.8351, 0.5000, 0.9082]], "space_group": "C2/m", "ef_ev_per_atom": 0.077, "relative_energy_kj_per_mol_fu": 7}

(5)
{"formula": "Li7In3Sn", "functional": "PBE-GGA", "state": "relaxed", "cell": [[1.5196, -9.5614, 0.0000], [1.5196, 9.5614, 0.0000], [0.0000, 0.0000, 15.7396]], "species": ["Li", "Li", "Li", "Li", "Li", "Li", "Li", "Li", "Li", "Li", "Li", "Li", "Li", "Li", "In", "In", "In", "In", "In", "In", "Sn", "Sn"], "fractional_positions": [[0.0152, 0.9848, 0.5926], [0.0152, 0.9848, 0.9074], [0.1148, 0.8852, 0.1664], [0.1148, 0.8852, 0.3336], [0.1223, 0.8777, 0.7500], [0.2490, 0.7510, 0.0880], [0.2490, 0.7510, 0.4120], [0.7510, 0.2490, 0.5880], [0.7510, 0.2490, 0.9120], [0.8777, 0.1223, 0.2500], [0.8852, 0.1148, 0.6664], [0.8852, 0.1148, 0.8336], [0.9848, 0.0152, 0.0926], [0.9848, 0.0152, 0.4074], [0.2722, 0.7278, 0.7500], [0.3791, 0.6209, 0.5074], [0.3791, 0.6209, 0.9926], [0.6209, 0.3791, 0.0074], [0.6209, 0.3791, 0.4926], [0.7278, 0.2722, 0.2500], [0.4936, 0.5064, 0.7500], [0.5064, 0.4936, 0.2500]], "space_group": "Cmcm", "ef_ev_per_atom": -0.220}

(6)
{"formula": "Y8Ho3Tm2", "functional": "PBE-GGA", "state": "relaxed", "cell": [[10.0276, -3.8136, 0.0000], [10.0276, 3.8136, 0.0000], [-0.0017, 0.0000, 5.6306]], "species": ["Y", "Y", "Y", "Y", "Y", "Y", "Y", "Y", "Ho", "Ho", "Ho", "Tm", "Tm"], "fractional_positions": [[0.1032, 0.6810, 0.9998], [0.1705, 0.1705, 0.5005], [0.3190, 0.8968, 0.0002], [0.3665, 0.3665, 0.5001], [0.6335, 0.6335, 0.4999], [0.6810, 0.1032, 0.9998], [0.8295, 0.8295, 0.4995], [0.8968, 0.3190, 0.0002], [0.2160, 0.7840, 0.5000], [0.5000, 0.5000, 0.0000], [0.7840, 0.2160, 0.5000], [0.2587, 0.2587, 0.0006], [0.7413, 0.7413, 0.9994]], "space_group": "C2/m", "ef_ev_per_atom": 0.239}

(7)
{"formula": "Ti8Tl2In", "functional": "PBE-GGA", "state": "relaxed", "cell": [[3.7114, -6.8819, 0.0000], [3.7114, 6.8819, 0.0000], [-2.6096, 0.0000, 4.0611]], "species": ["Ti", "Ti", "Ti", "Ti", "Ti", "Ti", "Ti", "Ti", "Tl", "Tl", "In"], "fractional_positions": [[0.1050, 0.3177, 0.6844], [0.2041, 0.7959, 0.0000], [0.3177, 0.1050, 0.6844], [0.4282, 0.4282, 0.2172], [0.5718, 0.5718, 0.7828], [0.6823, 0.8950, 0.3156], [0.7959, 0.2041, 0.0000], [0.8950, 0.6823, 0.3156], [0.3066, 0.6934, 0.5000], [0.6934, 0.3066, 0.5000], [0.0000, 0.0000, 0.0000]], "space_group": "C2/m", "ef_ev_per_atom": 0.134}

(8)
{"formula": "DySiBr", "functional": "PBE-GGA", "state": "relaxed", "cell": [[6.6378, 0.0000, 0.0000], [0.0000, 3.8320, 0.0000], [-2.2831, 0.0000, 12.6160]], "species": ["Dy", "Dy", "Dy", "Dy", "Si", "Si", "Si", "Si", "Br", "Br", "Br", "Br"], "fractional_positions": [[0.2336, 0.0000, 0.1948], [0.2664, 0.5000, 0.8052], [0.7336, 0.5000, 0.1948], [0.7664, 0.0000, 0.8052], [0.1525, 0.0000, 0.9587], [0.3475, 0.5000, 0.0413], [0.6525, 0.5000, 0.9587], [0.8475, 0.0000, 0.0413], [0.1180, 0.5000, 0.3430], [0.3820, 0.0000, 0.6570], [0.6180, 0.0000, 0.3430], [0.8820, 0.5000, 0.6570]], "space_group": "C2/m", "formation_energy_uncorrected_ev_per_atom": -1.139}

(9)
{"formula": "Te2PdI", "functional": "PBE-GGA", "state": "relaxed", "cell": [[7.7883, 0.0000, 0.0000], [0.0000, 7.7883, 0.0000], [0.0000, 0.0000, 8.7883]], "species": ["Te", "Te", "Te", "Te", "Te", "Te", "Te", "Te", "Pd", "Pd", "Pd", "Pd", "I", "I", "I", "I"], "fractional_positions": [[0.1301, 0.3699, 0.0000], [0.1301, 0.6301, 0.5000], [0.3699, 0.1301, 0.5000], [0.3699, 0.8699, 0.0000], [0.6301, 0.1301, 0.0000], [0.6301, 0.8699, 0.5000], [0.8699, 0.3699, 0.5000], [0.8699, 0.6301, 0.0000], [0.0000, 0.5000, 0.2500], [0.0000, 0.5000, 0.7500], [0.5000, 0.0000, 0.2500], [0.5000, 0.0000, 0.7500], [0.0000, 0.0000, 0.2500], [0.0000, 0.0000, 0.7500], [0.5000, 0.5000, 0.2500], [0.5000, 0.5000, 0.7500]], "space_group": "I4/mcm", "formation_energy_uncorrected_ev_per_atom": 0.090}

(10)
{"formula": "Be2SbAu2", "functional": "PBE-GGA", "state": "relaxed", "cell": [[7.5435, 0.0000, 0.0000], [0.0000, 7.5435, 0.0000], [0.0000, 0.0000, 2.8431]], "species": ["Be", "Be", "Be", "Be", "Sb", "Sb", "Au", "Au", "Au", "Au"], "fractional_positions": [[0.1431, 0.3569, 0.0000], [0.3569, 0.8569, 0.0000], [0.6431, 0.1431, 0.0000], [0.8569, 0.6431, 0.0000], [0.0000, 0.0000, 0.5000], [0.5000, 0.5000, 0.5000], [0.1422, 0.6422, 0.5000], [0.3578, 0.1422, 0.5000], [0.6422, 0.8578, 0.5000], [0.8578, 0.3578, 0.5000]], "space_group": "P4/mbm", "formation_energy_uncorrected_ev_per_atom": 0.127, "relative_energy_kj_per_mol_fu": 84}

(11)
{"formula": "Re3SiAg", "functional": "PBE-GGA", "state": "relaxed", "cell": [[4.4269, 0.0000, 0.0000], [0.0000, 4.4269, 0.0000], [0.0000, 0.0000, 4.4269]], "species": ["Re", "Re", "Re", "Si", "Ag"], "fractional_positions": [[0.0000, 0.0000, 0.5000], [0.0000, 0.5000, 0.0000], [0.5000, 0.0000, 0.0000], [0.0000, 0.0000, 0.0000], [0.5000, 0.5000, 0.5000]], "space_group": "Pm-3m", "formation_energy_uncorrected_ev_per_atom": 1.389, "relative_energy_kj_per_mol_fu": 0}

(12)
{"formula": "UReI", "functional": "PBE-GGA", "state": "relaxed", "cell": [[3.1298, 0.0000, 0.0000], [1.1410, 3.1154, 0.0000], [0.0268, 0.1373, 14.6921]], "species": ["U", "U", "Re", "Re", "I", "I"], "fractional_positions": [[0.0009, 0.2458, 0.0806], [0.9991, 0.7542, 0.9194], [0.4989, 0.2596, 0.7926], [0.5011, 0.7404, 0.2074], [0.0021, 0.7351, 0.3673], [0.9979, 0.2649, 0.6327]], "space_group": "P-1", "formation_energy_uncorrected_ev_per_atom": 0.544}

(13)
{"formula": "Tb2Pr2SmEr", "functional": "PBE-GGA", "state": "relaxed", "cell": [[7.0818, 0.0000, 0.0000], [0.0000, 5.7032, 0.0000], [0.0000, 0.0000, 9.8800]], "species": ["Tb", "Tb", "Tb", "Tb", "Pr", "Pr", "Pr", "Pr", "Sm", "Sm", "Er", "Er"], "fractional_positions": [[0.2500, 0.0000, 0.1640], [0.2500, 0.5000, 0.6683], [0.7500, 0.0000, 0.8360], [0.7500, 0.5000, 0.3317], [0.0000, 0.5000, 0.0000], [0.2500, 0.0000, 0.8220], [0.5000, 0.5000, 0.0000], [0.7500, 0.0000, 0.1780], [0.2500, 0.5000, 0.3425], [0.7500, 0.5000, 0.6575], [0.0000, 0.0000, 0.5000], [0.5000, 0.0000, 0.5000]], "space_group": "Pmma", "ef_ev_per_atom": 0.061}

(14)
{"formula": "TaTiMn2Mo", "functional": "PBE-GGA", "state": "relaxed", "cell": [[4.2109, 0.0000, 0.0000], [0.0000, 4.2109, 0.0000], [0.0000, 0.0000, 4.6684]], "species": ["Ta", "Ti", "Mn", "Mn", "Mo"], "fractional_positions": [[0.0000, 0.0000, 0.0000], [0.5000, 0.5000, 0.5000], [0.0000, 0.5000, 0.5000], [0.5000, 0.0000, 0.5000], [0.5000, 0.5000, 0.0000]], "space_group": "P4/mmm", "ef_ev_per_atom": 1.113}

(15)
{"formula": "Tb3ScGa4", "functional": "PBE-GGA", "state": "relaxed", "cell": [[3.5195, 0.0000, 0.0000], [0.0000, 3.5195, 0.0000], [0.0000, 0.0000, 14.2320]], "species": ["Tb", "Tb", "Tb", "Sc", "Ga", "Ga", "Ga", "Ga"], "fractional_positions": [[0.0000, 0.0000, 0.0000], [0.0000, 0.0000, 0.2599], [0.0000, 0.0000, 0.7401], [0.0000, 0.0000, 0.5000], [0.5000, 0.5000, 0.1306], [0.5000, 0.5000, 0.3919], [0.5000, 0.5000, 0.6081], [0.5000, 0.5000, 0.8694]], "space_group": "P4/mmm", "ef_ev_per_atom": -0.588}

(16)
{"formula": "HgH3Rh", "functional": "PBE-GGA", "state": "relaxed", "cell": [[3.5981, 0.0000, 0.0000], [0.0000, 3.5981, 0.0000], [0.0000, 0.0000, 3.5981]], "species": ["Hg", "H", "H", "H", "Rh"], "fractional_positions": [[0.0000, 0.0000, 0.0000], [0.0000, 0.5000, 0.5000], [0.5000, 0.0000, 0.5000], [0.5000, 0.5000, 0.0000], [0.5000, 0.5000, 0.5000]], "space_group": "Pm-3m", "relative_energy_kj_per_mol_fu": 36}

(17)
{"formula": "CeZr4", "functional": "PBE-GGA", "state": "relaxed", "cell": [[3.2683, 0.0000, 0.0000], [1.6318, 2.8325, 0.0000], [1.6182, 0.9365, 13.1302]], "species": ["Ce", "Zr", "Zr", "Zr", "Zr"], "fractional_positions": [[0.0000, 0.0000, 0.0000], [0.1350, 0.1329, 0.5971], [0.2618, 0.2651, 0.2092], [0.7382, 0.7349, 0.7908], [0.8650, 0.8671, 0.4029]], "space_group": "P-1", "ef_ev_per_atom": 0.055, "relative_energy_kj_per_mol_fu": 0}

(18)
{"formula": "Li2YRe", "functional": "PBE-GGA", "state": "relaxed", "cell": [[2.7481, 0.0000, 0.0000], [0.0000, 4.6497, 0.0000], [0.0000, 0.0000, 5.6522]], "species": ["Li", "Li", "Y", "Re"], "fractional_positions": [[0.0000, 0.0000, 0.2013], [0.0000, 0.0000, 0.7987], [0.5000, 0.5000, 0.5000], [0.5000, 0.5000, 0.0000]], "space_group": "Pmmm", "ef_ev_per_atom": 0.521, "relative_energy_kj_per_mol_fu": 51}

(19)
{"formula": "Sc5Ga2Te", "functional": "PBE-GGA", "state": "relaxed", "cell": [[-3.6794, 3.6794, 6.3662], [3.6794, -3.6794, 6.3662], [3.6794, 3.6794, -6.3662]], "species": ["Sc", "Sc", "Sc", "Sc", "Sc", "Sc", "Sc", "Sc", "Sc", "Sc", "Ga", "Ga", "Ga", "Ga", "Te", "Te"], "fractional_positions": [[0.0000, 0.0000, 0.0000], [0.0133, 0.5133, 0.8175], [0.1958, 0.0133, 0.5000], [0.3042, 0.8042, 0.8175], [0.4867, 0.3042, 0.5000], [0.5000, 0.5000, 0.0000], [0.5133, 0.6958, 0.5000], [0.6958, 0.1958, 0.1825], [0.8042, 0.9867, 0.5000], [0.9867, 0.4867, 0.1825], [0.1354, 0.3646, 0.5000], [0.3646, 0.8646, 0.2292], [0.6354, 0.1354, 0.7708], [0.8646, 0.6354, 0.5000], [0.2500, 0.2500, 0.0000], [0.7500, 0.7500, 0.0000]], "space_group": "I4/mcm", "formation_energy_uncorrected_ev_per_atom": -0.643}

(20)
{"formula": "TiFe2Pd5", "functional": "PBE-GGA", "state": "relaxed", "cell": [[5.4823, 0.0000, 0.0000], [0.0000, 10.9886, 0.0000], [0.0000, 0.0000, 3.8932]], "species": ["Ti", "Ti", "Fe", "Fe", "Fe", "Fe", "Pd", "Pd", "Pd", "Pd", "Pd", "Pd", "Pd", "Pd", "Pd", "Pd"], "fractional_positions": [[0.0000, 0.0000, 0.0000], [0.5000, 0.5000, 0.0000], [0.2361, 0.3714, 0.5000], [0.2639, 0.8714, 0.5000], [0.7361, 0.1286, 0.5000], [0.7639, 0.6286, 0.5000], [0.0000, 0.5000, 0.0000], [0.0173, 0.7559, 0.0000], [0.2359, 0.1188, 0.5000], [0.2641, 0.6188, 0.5000], [0.4827, 0.2559, 0.0000], [0.5000, 0.0000, 0.0000], [0.5173, 0.7441, 0.0000], [0.7359, 0.3812, 0.5000], [0.7641, 0.8812, 0.5000], [0.9827, 0.2441, 0.0000]], "space_group": "Pbam", "ef_ev_per_atom": -0.254}

(21)
{"formula": "Ac3La2PuN6", "functional": "PBE-GGA", "state": "relaxed", "cell": [[3.2588, -5.6265, 0.0000], [3.2588, 5.6265, 0.0000], [-2.1512, 0.0000, 6.1657]], "species": ["Ac", "Ac", "Ac", "La", "La", "Pu", "N", "N", "N", "N", "N", "N"], "fractional_positions": [[0.0000, 0.0000, 0.0000], [0.3353, 0.6647, 0.0000], [0.6647, 0.3353, 0.0000], [0.1660, 0.8340, 0.5000], [0.8340, 0.1660, 0.5000], [0.5000, 0.5000, 0.5000], [0.1327, 0.4286, 0.2862], [0.2659, 0.2659, 0.7387], [0.4286, 0.1327, 0.2862], [0.5714, 0.8673, 0.7138], [0.7341, 0.7341, 0.2613], [0.8673, 0.5714, 0.7138]], "space_group": "C2/m", "formation_energy_uncorrected_ev_per_atom": -1.149}

(22)
{"formula": "TaTe2Se", "functional": "PBE-GGA", "state": "relaxed", "cell": [[3.3539, 0.0000, 0.0000], [0.0000, 4.5419, 0.0000], [0.0000, 0.0000, 13.7557]], "species": ["Ta", "Ta", "Te", "Te", "Te", "Te", "Se", "Se"], "fractional_positions": [[0.0000, 0.0000, 0.0000], [0.5000, 0.5000, 0.5000], [0.0000, 0.5000, 0.3327], [0.0000, 0.5000, 0.6673], [0.5000, 0.0000, 0.1673], [0.5000, 0.0000, 0.8327], [0.0000, 0.0000, 0.5000], [0.5000, 0.5000, 0.0000]], "space_group": "Immm", "formation_energy_uncorrected_ev_per_atom": 0.026}

(23)
{"formula": "Cu2SbS2", "functional": "PBE-GGA", "state": "relaxed", "cell": [[3.5950, 0.0000, 0.0000], [0.0000, 3.5950, 0.0000], [0.0000, 0.0000, 13.5441]], "species": ["Cu", "Cu", "Cu", "Cu", "Sb", "Sb", "S", "S", "S", "S"], "fractional_positions": [[0.0000, 0.5000, 0.2500], [0.0000, 0.5000, 0.7500], [0.5000, 0.0000, 0.2500], [0.5000, 0.0000, 0.7500], [0.0000, 0.0000, 0.0000], [0.5000, 0.5000, 0.5000], [0.0000, 0.0000, 0.3669], [0.0000, 0.0000, 0.6331], [0.5000, 0.5000, 0.1331], [0.5000, 0.5000, 0.8669]], "space_group": "I4/mmm", "formation_energy_uncorrected_ev_per_atom": 0.061, "relative_energy_kj_per_mol_fu": 42}

(24)
{"formula": "Cs2TiZnF6", "functional": "PBE-GGA", "state": "relaxed", "cell": [[0.0000, 4.8285, 4.8285], [4.8285, 0.0000, 4.8285], [4.8285, 4.8285, 0.0000]], "species": ["Cs", "Cs", "Ti", "Zn", "F", "F", "F", "F", "F", "F"], "fractional_positions": [[0.2500, 0.2500, 0.2500], [0.7500, 0.7500, 0.7500], [0.0000, 0.0000, 0.0000], [0.5000, 0.5000, 0.5000], [0.1965, 0.1965, 0.8035], [0.1965, 0.8035, 0.1965], [0.1965, 0.8035, 0.8035], [0.8035, 0.1965, 0.1965], [0.8035, 0.1965, 0.8035], [0.8035, 0.8035, 0.1965]], "space_group": "Fm-3m", "formation_energy_uncorrected_ev_per_atom": -2.810}